(1)
Compound: YMoAs
Source: Alexandria via LeMat-Bulk
Functional: PBE
Structure: relaxed

Lattice parameters (Å, degrees): 4.3269 4.3269 3.8947 90.00 90.00 120.00
Last column: nearest neighbours and their distance in Å.
Fractional coordinates of all 3 atoms:
Mo (0.6667, 0.3333, 0.1666)  3 As 2.50
Y (0.3333, 0.6667, 0.6667)  6 Mo 3.17, 6 As 3.17
As (0.0000, 0.0000, 0.1667)  3 Mo 2.50

M_tot	0.000	Bohr magnetons per cell
formation enthalpy at 0 K	-0.29	eV per atom

=====

(2)
Compound: In2GaBr2
Source: Alexandria via LeMat-Bulk
Functional: PBE
Structure: relaxed

Lattice parameters (Å, degrees): 3.9633 6.4192 6.4229 98.48 104.72 104.74
Last column: nearest neighbours and their distance in Å.
Fractional coordinates of all 5 atoms:
Ga (0.3073, 0.7953, 0.2666)  4 In 2.96-3.22, 4 Br 3.13-3.14
Br (0.8042, 0.5442, 0.5153)  2 Ga 3.13-3.14, 4 In 3.19-3.41
Br (0.8052, 0.0445, 0.0153)  2 Ga 3.14, 4 In 3.18-3.40
In (0.0100, 0.1028, 0.5716)  2 Ga 2.96-3.22, 2 Br 3.19-3.20, 1 In 3.19
In (0.6066, 0.4878, 0.9614)  2 Ga 2.96-3.22, 2 Br 3.18-3.20, 1 In 3.19

offset from the most stable computed form	0.38	eV per formula unit
M_tot	0.000	Bohr magnetons per cell
ΔE_f (raw)	-375	meV per atom

=====

(3)
Compound: GdPaAlGa
Source: Alexandria via LeMat-Bulk
Functional: PBE
Structure: relaxed

Lattice parameters (Å, degrees): 5.0897 5.0897 5.0897 60.00 60.00 60.00
Last column: nearest neighbours and their distance in Å.
Fractional coordinates of all 4 atoms:
Pa (0.0000, 0.0000, 0.0000)  4 Al 3.12, 4 Ga 3.12
Al (0.7500, 0.7500, 0.7500)  4 Pa 3.12, 4 Gd 3.12
Ga (0.2500, 0.2500, 0.2500)  4 Gd 3.12, 4 Pa 3.12
Gd (0.5000, 0.5000, 0.5000)  4 Al 3.12, 4 Ga 3.12

M_tot	8.175	Bohr magnetons per cell
formation enthalpy at 0 K	-0.19	eV per atom

=====

(4)
Compound: PmBeC
Source: Alexandria via LeMat-Bulk
Functional: PBE
Structure: relaxed

Lattice parameters (Å, degrees): 3.9884 3.3994 3.3994 120.00 90.00 90.00
Last column: nearest neighbours and their distance in Å.
Fractional coordinates of all 3 atoms:
C (0.1668, 0.3333, 0.6667)  3 Be 1.96
Pm (0.6666, 0.6667, 0.3333)  6 C 2.80, 6 Be 2.80
Be (0.1666, 0.0000, 0.0000)  3 C 1.96

offset from the most stable computed form	0.13	eV per formula unit
M_tot	0.591	Bohr magnetons per cell
formation enthalpy at 0 K	-0.09	eV per atom